Crystalline NaAc2PrTe4 at its relaxed geometry, computed with PBE.

Values from the calculation:
Uncorrected energy = -4.7895 eV per atom

The structure in POSCAR format:
```
NaAc2PrTe4
1.0
7.9498 0.0000 0.0000
0.0000 4.6534 0.0000
-2.7292 0.0000 7.6909
Na Ac Pr Te
1 2 1 4
direct
0.0000 0.0000 0.0000
0.5000 0.0000 0.5000
0.5000 0.5000 0.0000
0.0000 0.5000 0.5000
0.2370 0.0000 0.7479
0.2380 0.5000 0.2457
0.7620 0.5000 0.7543
0.7630 0.0000 0.2521
```

=====

Crystalline Na4Ac3PrTe8 at its relaxed geometry, computed with PBE.

Values from the calculation:
Uncorrected energy = -4.3456 eV per atom

The structure in POSCAR format:
```
Na4Ac3PrTe8
1.0
4.7331 2.7327 7.5544
-4.7331 2.7327 7.5544
0.0000 -5.4653 7.5544
Na Ac Pr Te
4 3 1 8
direct
0.0000 0.0000 0.0000
0.0000 0.5000 0.5000
0.5000 0.0000 0.5000
0.5000 0.5000 0.0000
0.0000 0.0000 0.5000
0.0000 0.5000 0.0000
0.5000 0.0000 0.0000
0.5000 0.5000 0.5000
0.2503 0.2503 0.2503
0.2558 0.2558 0.7430
0.2558 0.7430 0.2558
0.2570 0.7442 0.7442
0.7430 0.2558 0.2558
0.7442 0.2570 0.7442
0.7442 0.7442 0.2570
0.7497 0.7497 0.7497
```

=====

Crystalline Na2AcPr3Te6 at its relaxed geometry, computed with PBE.

Values from the calculation:
Uncorrected energy = -4.7186 eV per atom

The structure in POSCAR format:
```
Na2AcPr3Te6
1.0
3.9338 -6.8146 0.0000
3.9338 6.8146 0.0000
-2.6309 0.0000 7.6773
Na Ac Pr Te
2 1 3 6
direct
0.1674 0.8326 0.0000
0.8326 0.1674 0.0000
0.5000 0.5000 0.0000
0.0000 0.0000 0.5000
0.3344 0.6656 0.5000
0.6656 0.3344 0.5000
0.0767 0.4151 0.7450
0.2458 0.2458 0.2539
0.4151 0.0767 0.7450
0.5849 0.9233 0.2550
0.7542 0.7542 0.7461
0.9233 0.5849 0.2550
```

=====

Crystalline NaAc2PrTl4 at its relaxed geometry, computed with PBE.

Values from the calculation:
E_form = -318 meV per atom

The structure in POSCAR format:
```
NaAc2PrTl4
1.0
2.8192 1.6277 9.4473
-2.8192 1.6277 9.4473
0.0000 -3.2554 9.4473
Na Ac Pr Tl
1 2 1 4
direct
0.0000 0.0000 0.0000
0.2552 0.2552 0.2552
0.7448 0.7448 0.7448
0.5000 0.5000 0.5000
0.1258 0.1258 0.1258
0.3756 0.3756 0.3756
0.6244 0.6244 0.6244
0.8742 0.8742 0.8742
```

=====

Crystalline NaAcPrTm at its relaxed geometry, computed with PBE.

Values from the calculation:
E_form = 231 meV per atom

The structure in POSCAR format:
```
NaAcPrTm
1.0
0.0000 4.1663 4.1663
4.1663 0.0000 4.1663
4.1663 4.1663 0.0000
Na Ac Pr Tm
1 1 1 1
direct
0.0000 0.0000 0.0000
0.2500 0.2500 0.2500
0.7500 0.7500 0.7500
0.5000 0.5000 0.5000
```

=====

Crystalline NaAcPrY at its relaxed geometry, computed with PBE.

Values from the calculation:
E_form = 243 meV per atom

The structure in POSCAR format:
```
NaAcPrY
1.0
0.0000 4.1980 4.1980
4.1980 0.0000 4.1980
4.1980 4.1980 0.0000
Na Ac Pr Y
1 1 1 1
direct
0.0000 0.0000 0.0000
0.7500 0.7500 0.7500
0.2500 0.2500 0.2500
0.5000 0.5000 0.5000
```

=====

Crystalline NaAcPrZn at its relaxed geometry, computed with PBE.

Values from the calculation:
E_form = 58 meV per atom

The structure in POSCAR format:
```
NaAcPrZn
1.0
0.0000 3.9657 3.9657
3.9657 0.0000 3.9657
3.9657 3.9657 0.0000
Na Ac Pr Zn
1 1 1 1
direct
0.0000 0.0000 0.0000
0.2500 0.2500 0.2500
0.7500 0.7500 0.7500
0.5000 0.5000 0.5000
```

=====

Crystalline NaAc2Pt at its relaxed geometry, computed with PBE.

Values from the calculation:
E_form = -463 meV per atom

The structure in POSCAR format:
```
NaAc2Pt
1.0
3.8298 0.0000 0.0000
0.0000 3.8298 0.0000
0.0000 0.0000 9.5736
Na Ac Pt
1 2 1
direct
0.0000 0.0000 0.0000
0.5000 0.5000 0.3150
0.5000 0.5000 0.6850
0.0000 0.0000 0.5000
```

=====

Crystalline NaAc2Pt at its relaxed geometry, computed with PBE.

Values from the calculation:
E_form = -571 meV per atom

The structure in POSCAR format:
```
NaAc2Pt
1.0
2.2223 1.2831 9.6693
-2.2223 1.2831 9.6693
0.0000 -2.5661 9.6693
Na Ac Pt
1 2 1
direct
0.0000 0.0000 0.0000
0.5551 0.5551 0.5551
0.7777 0.7777 0.7777
0.1663 0.1663 0.1663
```

=====

Crystalline Na2AcPt9 at its relaxed geometry, computed with PBE.

Values from the calculation:
E_form = -539 meV per atom

The structure in POSCAR format:
```
Na2AcPt9
1.0
2.7273 1.5746 8.8110
-2.7273 1.5746 8.8110
0.0000 -3.1492 8.8110
Na Ac Pt
2 1 9
direct
0.1454 0.1454 0.1454
0.8546 0.8546 0.8546
0.0000 0.0000 0.0000
0.0823 0.5860 0.5860
0.3327 0.3327 0.3327
0.4140 0.4140 0.9177
0.4140 0.9177 0.4140
0.5000 0.5000 0.5000
0.5860 0.0823 0.5860
0.5860 0.5860 0.0823
0.6673 0.6673 0.6673
0.9177 0.4140 0.4140
```

=====

Crystalline NaAc2Pt at its relaxed geometry, computed with PBE.

Values from the calculation:
E_form = -298 meV per atom

The structure in POSCAR format:
```
NaAc2Pt
1.0
5.4284 0.0000 0.0000
0.0000 5.4284 0.0000
0.0000 0.0000 4.1144
Na Ac Pt
1 2 1
direct
0.0000 0.0000 0.0000
0.0000 0.5000 0.5000
0.5000 0.0000 0.5000
0.5000 0.5000 0.0000
```

=====

Crystalline NaAc6Pt3 at its relaxed geometry, computed with PBE.

Values from the calculation:
E_form = -673 meV per atom

The structure in POSCAR format:
```
NaAc6Pt3
1.0
12.3625 0.0000 0.0000
0.0000 4.3854 0.0000
-5.8655 0.0000 14.3697
Na Ac Pt
2 12 6
direct
0.0799 0.2500 0.4384
0.9201 0.7500 0.5616
0.0529 0.2500 0.7873
0.1458 0.2500 0.0801
0.2620 0.7500 0.6466
0.3466 0.7500 0.9310
0.3577 0.7500 0.4220
0.4562 0.7500 0.2143
0.5438 0.2500 0.7857
0.6423 0.2500 0.5780
0.6534 0.2500 0.0690
0.7380 0.2500 0.3534
0.8542 0.7500 0.9199
0.9471 0.7500 0.2127
0.1038 0.7500 0.9340
0.3000 0.2500 0.7872
0.4939 0.2500 0.3652
0.5061 0.7500 0.6348
0.7000 0.7500 0.2128
0.8962 0.2500 0.0660
```

=====

Crystalline NaAc2Pt9 at its relaxed geometry, computed with PBE.

Values from the calculation:
E_form = -668 meV per atom

The structure in POSCAR format:
```
NaAc2Pt9
1.0
2.7879 1.6096 8.9058
-2.7879 1.6096 8.9058
0.0000 -3.2192 8.9058
Na Ac Pt
1 2 9
direct
0.0000 0.0000 0.0000
0.1354 0.1354 0.1354
0.8646 0.8646 0.8646
0.0786 0.5842 0.5842
0.3321 0.3321 0.3321
0.4158 0.4158 0.9214
0.4158 0.9214 0.4158
0.5000 0.5000 0.5000
0.5842 0.0786 0.5842
0.5842 0.5842 0.0786
0.6679 0.6679 0.6679
0.9214 0.4158 0.4158
```

=====

Crystalline NaAc2Pt at its relaxed geometry, computed with PBE.

Values from the calculation:
E_form = -490 meV per atom

The structure in POSCAR format:
```
NaAc2Pt
1.0
2.2030 1.2719 11.1128
-2.2030 1.2719 11.1128
0.0000 -2.5438 11.1128
Na Ac Pt
1 2 1
direct
0.0000 0.0000 0.0000
0.1183 0.1183 0.1183
0.8817 0.8817 0.8817
0.5000 0.5000 0.5000
```

=====

Crystalline Na2Ac2Pt15 at its relaxed geometry, computed with PBE.

Values from the calculation:
E_form = -568 meV per atom

The structure in POSCAR format:
```
Na2Ac2Pt15
1.0
4.7415 2.7375 4.4880
-4.7415 2.7375 4.4880
0.0000 -5.4750 4.4880
Na Ac Pt
2 2 15
direct
0.0907 0.0907 0.0907
0.9093 0.9093 0.9093
0.3431 0.3431 0.3431
0.6569 0.6569 0.6569
0.0000 0.0000 0.5000
0.0000 0.3171 0.6829
0.0000 0.5000 0.0000
0.0000 0.6829 0.3171
0.1637 0.6596 0.6596
0.3171 0.0000 0.6829
0.3171 0.6829 0.0000
0.3404 0.3404 0.8363
0.3404 0.8363 0.3404
0.5000 0.0000 0.0000
0.6596 0.1637 0.6596
0.6596 0.6596 0.1637
0.6829 0.0000 0.3171
0.6829 0.3171 0.0000
0.8363 0.3404 0.3404
```

=====

Crystalline NaAc8Pt4 at its relaxed geometry, computed with PBE.

Values from the calculation:
E_form = -723 meV per atom

The structure in POSCAR format:
```
NaAc8Pt4
1.0
10.7687 -2.2203 0.0000
10.7687 2.2203 0.0000
-9.4078 0.0000 10.9871
Na Ac Pt
1 8 4
direct
0.0000 0.0000 0.0000
0.0397 0.0397 0.7407
0.2883 0.2883 0.9227
0.3304 0.3304 0.6582
0.3729 0.3729 0.4157
0.6256 0.6256 0.5823
0.6685 0.6685 0.3405
0.7106 0.7106 0.0755
0.9591 0.9591 0.2574
0.1457 0.1457 0.4587
0.3357 0.3357 0.1708
0.6632 0.6632 0.8274
0.8532 0.8532 0.5399
```

=====

Crystalline NaAcPt2 at its relaxed geometry, computed with PBE.

Values from the calculation:
E_form = -605 meV per atom

The structure in POSCAR format:
```
NaAcPt2
1.0
4.8865 0.0000 0.0000
0.0000 4.8865 0.0000
0.0000 0.0000 3.8629
Na Ac Pt
1 1 2
direct
0.0000 0.0000 0.0000
0.5000 0.5000 0.0000
0.0000 0.5000 0.5000
0.5000 0.0000 0.5000
```

=====

Crystalline NaAcPt2 at its relaxed geometry, computed with PBE.

Values from the calculation:
E_form = -682 meV per atom

The structure in POSCAR format:
```
NaAcPt2
1.0
8.2728 0.0000 0.0000
0.0000 4.7572 0.0000
0.0000 0.0000 10.2751
Na Ac Pt
4 4 8
direct
0.0157 0.2500 0.0952
0.4843 0.7500 0.5952
0.5157 0.2500 0.4048
0.9843 0.7500 0.9048
0.1327 0.7500 0.3592
0.3673 0.2500 0.8592
0.6327 0.7500 0.1408
0.8673 0.2500 0.6408
0.1423 0.7500 0.6589
0.2297 0.2500 0.5742
0.2703 0.7500 0.0742
0.3577 0.2500 0.1589
0.6423 0.7500 0.8411
0.7297 0.2500 0.9258
0.7703 0.7500 0.4258
0.8577 0.2500 0.3411
```

=====

Crystalline NaAcPt2 at its relaxed geometry, computed with PBE.

Values from the calculation:
E_form = -625 meV per atom

The structure in POSCAR format:
```
NaAcPt2
1.0
3.8238 0.0000 0.0000
0.0000 3.8238 0.0000
0.0000 0.0000 6.1994
Na Ac Pt
1 1 2
direct
0.0000 0.0000 0.0000
0.0000 0.0000 0.5000
0.5000 0.5000 0.2324
0.5000 0.5000 0.7676
```

=====

Crystalline NaAcPtRh at its relaxed geometry, computed with PBE.

Values from the calculation:
E_form = -340 meV per atom

The structure in POSCAR format:
```
NaAcPtRh
1.0
0.0000 3.5430 3.5430
3.5430 0.0000 3.5430
3.5430 3.5430 0.0000
Na Ac Pt Rh
1 1 1 1
direct
0.0000 0.0000 0.0000
0.5000 0.5000 0.5000
0.2500 0.2500 0.2500
0.7500 0.7500 0.7500
```

=====

| no. | theoretical density (g/cm3) | calculated volume (Å³/cell) |
| --- | --- | --- |
| 1 | 6.6 | 284.5 |
| 2 | 5.5 | 586.2 |
| 3 | 5.9 | 411.6 |
| 4 | 9.2 | 260.1 |
| 5 | 6.4 | 144.6 |
| 6 | 5.4 | 148.0 |
| 7 | 6.1 | 124.7 |
| 8 | 7.9 | 140.4 |
| 9 | 6.7 | 165.4 |
| 10 | 14.8 | 227.0 |
| 11 | 9.2 | 121.2 |
| 12 | 8.4 | 779.0 |
| 13 | 15.5 | 239.8 |
| 14 | 6.0 | 186.8 |
| 15 | 16.3 | 349.5 |
| 16 | 8.3 | 525.4 |
| 17 | 11.5 | 92.2 |
| 18 | 10.5 | 404.4 |
| 19 | 11.7 | 90.6 |
| 20 | 10.2 | 88.9 |